1.
Compound: SrH16O10
Source: Alexandria via LeMat-Bulk
Functional: PBE-GGA
Structure: optimized geometry

Summary:
Volume, Å³/f.u.: 223
Symmetry: P2/c (13)
Spin magnetization, μB/atom: 0.005
Fermi-level density of states, states/eV/atom: 0.0000
ΔE to the lowest computed polymorph, meV/atom: 0
Crystal system: monoclinic

The structure in extended XYZ format:
```
54
Lattice="6.321 0.000 0.000 0.000 6.332 -0.001 0.000 0.021 11.160" Properties=species:S:1:pos:R:3 pbc="T T T"
O 5.465 2.077 4.254
O 2.091 0.883 6.974
O 4.230 0.873 1.394
O 2.076 5.512 1.398
O 0.856 2.088 9.834
O 4.245 5.523 6.979
O 3.180 3.190 7.652
O 2.077 0.822 4.238
O 0.857 4.269 6.961
O 5.492 4.251 9.809
O 5.493 2.105 6.987
O 2.090 5.472 9.822
O 3.142 3.155 3.565
O 0.828 2.094 1.407
O 5.464 4.258 1.381
O 0.829 4.241 4.229
O 3.179 3.165 9.145
O 3.141 3.180 2.072
O 4.231 5.462 4.242
O 4.244 0.832 9.818
H 1.731 2.488 1.673
H 3.833 1.777 1.650
H 3.834 4.558 3.986
H 1.997 0.905 5.977
H 4.324 0.894 0.397
H 4.590 2.498 7.253
H 3.862 4.620 7.253
H 0.887 2.008 10.833
H 2.488 1.787 7.230
H 2.459 1.725 3.964
H 4.563 2.465 3.988
H 0.196 2.869 1.469
H 2.855 0.193 4.170
H 3.862 1.735 9.544
H 4.562 3.871 1.647
H 1.996 5.451 10.819
H 1.732 3.848 3.964
H 6.125 2.879 7.049
H 0.888 4.349 5.962
H 1.759 3.881 7.227
H 5.434 1.997 5.253
H 3.466 0.203 9.750
H 3.467 6.152 7.047
H 2.487 4.569 9.566
H 2.854 6.141 1.467
H 4.325 5.440 5.239
H 2.459 4.609 1.673
H 5.433 4.339 0.382
H 6.125 3.477 9.747
H 0.196 3.467 4.167
H 1.758 2.476 9.568
H 4.589 3.858 9.544
Sr 6.302 6.334 2.818
Sr 0.019 6.344 8.398
```



2.
Compound: ReTcW2
Source: Alexandria via LeMat-Bulk
Functional: PBE-GGA
Structure: optimized geometry

Summary:
Volume, Å³/f.u.: 62
Symmetry: R-3m (166)
Spin magnetization, μB/atom: 0.000
Fermi-level density of states, states/eV/atom: 0.9722
ΔE to the lowest computed polymorph, meV/atom: 174
Crystal system: trigonal
Formation energy from the elements, eV/f.u.: 1.0

The structure in extended XYZ format:
```
4
Lattice="-7.969 -3.814 2.582 -6.330 -4.793 4.656 -7.489 -2.232 4.864" Properties=species:S:1:pos:R:3 pbc="T T T"
W -10.886 -5.415 6.046
W -0.008 -0.004 0.005
Re -5.447 -2.710 3.025
Tc -16.341 -8.129 9.076
```



3.
Compound: ScAl2Ru2
Source: Alexandria via LeMat-Bulk
Functional: PBE-GGA
Structure: optimized geometry

Summary:
Volume, Å³/f.u.: 85
Symmetry: I4/mmm (139)
Spin magnetization, μB/atom: 0.000
Fermi-level density of states, states/eV/atom: 0.6066
ΔE to the lowest computed polymorph, meV/atom: 254
Crystal system: tetragonal
Formation energy from the elements, eV/f.u.: -1.8

The structure in extended XYZ format:
```
5
Lattice="3.935 0.000 0.000 0.000 3.935 0.000 1.967 1.967 5.508" Properties=species:S:1:pos:R:3 pbc="T T T"
Al 1.967 3.935 2.754
Al 3.935 1.967 2.754
Ru 3.935 3.935 4.292
Ru 1.967 1.967 1.216
Sc 0.000 0.000 0.000
```



4.
Compound: CaIr2Ru
Source: Alexandria via LeMat-Bulk
Functional: PBE-GGA
Structure: optimized geometry

Summary:
Volume, Å³/f.u.: 76
Symmetry: I-42d (122)
Spin magnetization, μB/atom: 0.000
Fermi-level density of states, states/eV/atom: 1.0289
ΔE to the lowest computed polymorph, meV/atom: 416
Crystal system: tetragonal
Formation energy from the elements, eV/f.u.: 1.7

The structure in extended XYZ format:
```
8
Lattice="-5.217 -0.350 -5.415 3.519 -5.936 -3.007 -2.312 -4.777 -2.696" Properties=species:S:1:pos:R:3 pbc="T T T"
Ir -3.681 -2.174 -4.727
Ir 1.251 -4.929 -2.937
Ir -2.561 -5.619 -5.018
Ir -3.029 -9.404 -9.554
Ru 0.000 0.000 0.000
Ru -4.189 -4.135 -6.161
Ca -0.849 -3.143 -4.211
Ca 0.179 -6.928 -4.957
```



5.
Compound: SrInOs2
Source: Alexandria via LeMat-Bulk
Functional: PBE-GGA
Structure: optimized geometry

Summary:
Volume, Å³/f.u.: 86
Symmetry: Pmm2 (25)
Spin magnetization, μB/atom: 0.000
Fermi-level density of states, states/eV/atom: 0.6468
Crystal system: orthorhombic
Formation energy from the elements, eV/f.u.: 1.3

The structure in extended XYZ format:
```
4
Lattice="-0.483 0.571 -2.834 -0.274 -3.632 -0.684 -7.743 0.324 1.386" Properties=species:S:1:pos:R:3 pbc="T T T"
Os -0.350 0.015 0.063
Os -1.736 -1.474 -1.516
Sr -3.684 0.154 0.659
In -6.602 -1.270 -0.645
```



6.
Compound: Mn3Cr3B8
Source: Alexandria via LeMat-Bulk
Functional: PBE-GGA
Structure: optimized geometry

Summary:
Volume, Å³/f.u.: 112
Symmetry: Pmm2 (25)
Spin magnetization, μB/atom: 0.358
Fermi-level density of states, states/eV/atom: 0.5677
Crystal system: orthorhombic
Formation energy from the elements, eV/f.u.: -5.7

The structure in extended XYZ format:
```
14
Lattice="2.941 0.000 0.000 0.000 2.945 0.000 0.000 0.000 12.909" Properties=species:S:1:pos:R:3 pbc="T T T"
B 0.000 1.472 7.298
B 1.471 1.472 11.108
B 1.471 0.000 0.871
B 0.000 1.472 5.589
B 0.000 0.000 4.622
B 0.000 0.000 8.258
B 1.471 1.472 1.834
B 1.471 0.000 12.069
Cr 1.471 1.472 8.853
Cr 0.000 0.000 10.514
Cr 1.471 1.472 4.054
Mn 0.000 0.000 2.397
Mn 0.000 1.472 12.903
Mn 1.471 0.000 6.444
```